one:
DFT (PBE) results for an optimized crystal structure of CsTl3Sn.

abc: 6.098 6.098 6.098
angles: 90.00 90.00 90.00
Space group Pm-3m (No. 221)
Symmetry-distinct sites (fractional):
Cs 0.000 0.000 0.000 (multiplicity 1)
Tl 0.000 0.500 0.500 (multiplicity 3)
Sn 0.500 0.500 0.500 (multiplicity 1)

Output
Calculated density ... 6.3 Mg/m³
N(E_F) ... 0.813 states/eV/atom
Magnetization ... 0.00 μB per formula unit
Volume ... 226.8 Å³/cell

---

two:
DFT (PBE) results for an optimized crystal structure of CsTl3Sn.

abc: 8.078 12.305 7.601
angles: 90.00 90.00 90.00
Space group Cmcm (No. 63)
Symmetry-distinct sites (fractional):
Cs 0.000 0.234 0.250 (multiplicity 4)
Tl 0.000 0.115 0.750 (multiplicity 4)
Tl 0.225 0.500 0.000 (multiplicity 8)
Sn 0.000 0.364 0.750 (multiplicity 4)

Output
Calculated density ... 7.6 Mg/m³
N(E_F) ... 0.367 states/eV/atom
Magnetization ... 0.00 μB per formula unit
Volume ... 755.5 Å³/cell

---

Computed relative energies in units of kJ/mol of atoms: one 18.8; two 0.0

---

one:
DFT (PBE) results for an optimized crystal structure of Cs2TlSn2.

abc: 12.334 7.914 9.903
angles: 90.00 104.62 90.00
Space group C2/c (No. 15)
Symmetry-distinct sites (fractional):
Cs 0.144 0.159 0.123 (multiplicity 8)
Tl 0.000 0.424 0.750 (multiplicity 4)
Sn 0.152 0.340 0.501 (multiplicity 8)

Output
Calculated density ... 5.0 Mg/m³
N(E_F) ... 0.499 states/eV/atom
Magnetization ... 0.00 μB per formula unit
Volume ... 935.3 Å³/cell

---

two:
DFT (PBE) results for an optimized crystal structure of Cs2TlSn2.

abc: 5.820 5.820 15.227
angles: 90.00 90.00 90.00
Space group I4/mmm (No. 139)
Symmetry-distinct sites (fractional):
Cs 0.000 0.500 0.250 (multiplicity 4)
Tl 0.000 0.000 0.000 (multiplicity 2)
Sn 0.000 0.000 0.414 (multiplicity 4)

Output
Calculated density ... 4.6 Mg/m³
N(E_F) ... 0.677 states/eV/atom
Magnetization ... 0.00 μB per formula unit
Volume ... 515.8 Å³/cell

---

Computed relative energies in units of kJ/mol of atoms: one 0.0; two 21.2

---

one:
DFT (PBE) results for an optimized crystal structure of Cs2TlSn.

abc: 12.264 9.173 6.865
angles: 90.00 90.00 90.00
Space group Cmcm (No. 63)
Symmetry-distinct sites (fractional):
Cs 0.169 0.147 0.250 (multiplicity 8)
Tl 0.000 0.500 0.000 (multiplicity 4)
Sn 0.000 0.234 0.750 (multiplicity 4)

Output
Calculated density ... 5.1 Mg/m³
N(E_F) ... 0.662 states/eV/atom
Magnetization ... 0.00 μB per formula unit
Volume ... 772.3 Å³/cell

---

two:
DFT (PBE) results for an optimized crystal structure of Cs2TlSn.

abc: 9.155 9.155 9.155
angles: 90.00 90.00 90.00
Space group Fm-3m (No. 225)
Symmetry-distinct sites (fractional):
Cs 0.250 0.250 0.250 (multiplicity 8)
Tl 0.000 0.000 0.000 (multiplicity 4)
Sn 0.000 0.000 0.500 (multiplicity 4)

Output
Calculated density ... 5.1 Mg/m³
N(E_F) ... 0.708 states/eV/atom
Magnetization ... 0.97 μB per formula unit
Volume ... 767.3 Å³/cell

---

Computed relative energies in units of kJ/mol of atoms: one 0.0; two 22.3

---

one:
DFT (PBE) results for an optimized crystal structure of CsTlSn2.

abc: 8.211 8.211 8.211
angles: 90.00 90.00 90.00
Space group Fm-3m (No. 225)
Symmetry-distinct sites (fractional):
Cs 0.000 0.000 0.000 (multiplicity 4)
Tl 0.000 0.000 0.500 (multiplicity 4)
Sn 0.250 0.250 0.250 (multiplicity 8)

Output
Calculated density ... 6.9 Mg/m³
N(E_F) ... 0.861 states/eV/atom
Magnetization ... 0.00 μB per formula unit
Volume ... 553.6 Å³/cell

---

two:
DFT (PBE) results for an optimized crystal structure of CsTlSn2.

abc: 5.3848 5.3848 21.0864
angles: 90.00 90.00 120.00
Space group R-3m (No. 166, hexagonal axes)
Symmetry-distinct sites (fractional):
Cs 0.0000 0.0000 0.0000 (multiplicity 3)
Tl 0.0000 0.0000 0.5000 (multiplicity 3)
Sn 0.0000 0.0000 0.1958 (multiplicity 6)

Output
Calculated density ... 5.4 Mg/m³
N(E_F) ... 0.874 states/eV/atom
Magnetization ... 0.00 μB per formula unit
Volume ... 529.5 Å³/cell

---

Computed relative energies in units of kJ/mol of atoms: one 20.2; two 0.0

---

one:
DFT (PBE) results for an optimized crystal structure of Cs2Tl7Sn.

abc: 5.341 5.341 13.222
angles: 90.00 90.00 90.00
Space group P-4m2 (No. 115)
Symmetry-distinct sites (fractional):
Cs 0.000 0.500 0.245 (multiplicity 2)
Tl 0.000 0.000 0.000 (multiplicity 1)
Tl 0.000 0.000 0.500 (multiplicity 1)
Tl 0.000 0.500 0.632 (multiplicity 2)
Tl 0.000 0.500 0.869 (multiplicity 2)
Tl 0.500 0.500 0.500 (multiplicity 1)
Sn 0.500 0.500 0.000 (multiplicity 1)

Output
Calculated density ... 8.0 Mg/m³
N(E_F) ... 0.567 states/eV/atom
Magnetization ... 0.00 μB per formula unit
Volume ... 377.2 Å³/cell

---

two:
DFT (PBE) results for an optimized crystal structure of Cs2Tl7Sn.

abc: 12.304 12.304 12.304
angles: 90.00 90.00 90.00
Space group Fm-3m (No. 225)
Symmetry-distinct sites (fractional):
Cs 0.250 0.250 0.250 (multiplicity 8)
Tl 0.000 0.000 0.000 (multiplicity 4)
Tl 0.000 0.000 0.257 (multiplicity 24)
Sn 0.000 0.000 0.500 (multiplicity 4)

Output
Calculated density ... 6.5 Mg/m³
N(E_F) ... 0.567 states/eV/atom
Magnetization ... 0.00 μB per formula unit
Volume ... 1862.8 Å³/cell

---

Computed relative energies in units of kJ/mol of atoms: one 0.0; two 15.8

---

one:
DFT (PBE) results for an optimized crystal structure of Cs2YSn.

abc: 14.395 14.395 5.913
angles: 90.00 90.00 90.00
Space group I-42d (No. 122)
Symmetry-distinct sites (fractional):
Cs 0.096 0.750 0.125 (multiplicity 8)
Y 0.000 0.000 0.500 (multiplicity 4)
Sn 0.000 0.000 0.000 (multiplicity 4)

Output
Calculated density ... 2.6 Mg/m³
N(E_F) ... 0.398 states/eV/atom
Magnetization ... 0.96 μB per formula unit
Volume ... 1225.3 Å³/cell

---

two:
DFT (PBE) results for an optimized crystal structure of Cs2YSn.

abc: 9.005 9.005 9.005
angles: 90.00 90.00 90.00
Space group Fm-3m (No. 225)
Symmetry-distinct sites (fractional):
Cs 0.250 0.250 0.250 (multiplicity 8)
Y 0.000 0.000 0.000 (multiplicity 4)
Sn 0.000 0.000 0.500 (multiplicity 4)

Output
Calculated density ... 4.3 Mg/m³
N(E_F) ... 0.825 states/eV/atom
Magnetization ... 0.00 μB per formula unit
Volume ... 730.2 Å³/cell

---

Computed relative energies in units of kJ/mol of atoms: one 0.0; two 32.4

---

one:
DFT (PBE) results for an optimized crystal structure of Cs2YSn2.

abc: 8.111 8.111 6.627
angles: 90.00 90.00 90.00
Space group P4/mbm (No. 127)
Symmetry-distinct sites (fractional):
Cs 0.171 0.329 0.000 (multiplicity 4)
Y 0.000 0.000 0.500 (multiplicity 2)
Sn 0.127 0.627 0.500 (multiplicity 4)

Output
Calculated density ... 4.5 Mg/m³
N(E_F) ... 1.377 states/eV/atom
Magnetization ... 0.78 μB per formula unit
Volume ... 436.0 Å³/cell

---

two:
DFT (PBE) results for an optimized crystal structure of Cs2YSn2.

abc: 10.898 10.898 3.442
angles: 90.00 90.00 90.00
Space group P4/mbm (No. 127)
Symmetry-distinct sites (fractional):
Cs 0.117 0.383 0.000 (multiplicity 4)
Y 0.000 0.000 0.000 (multiplicity 2)
Sn 0.181 0.681 0.500 (multiplicity 4)

Output
Calculated density ... 4.8 Mg/m³
N(E_F) ... 0.897 states/eV/atom
Magnetization ... 0.00 μB per formula unit
Volume ... 408.9 Å³/cell

---

three:
DFT (PBE) results for an optimized crystal structure of Cs2YSn2.

abc: 4.195 4.195 28.019
angles: 90.00 90.00 90.00
Space group I4/mmm (No. 139)
Symmetry-distinct sites (fractional):
Cs 0.000 0.000 0.125 (multiplicity 4)
Y 0.000 0.000 0.500 (multiplicity 2)
Sn 0.000 0.500 0.250 (multiplicity 4)

Output
Calculated density ... 4.0 Mg/m³
N(E_F) ... 1.467 states/eV/atom
Magnetization ... 2.31 μB per formula unit
Volume ... 493.1 Å³/cell

---

Computed relative energies in units of kJ/mol of atoms: one 0.0; two 39.1; three 36.6

---

one:
DFT (PBE) results for an optimized crystal structure of CsY3Sn.

abc: 5.585 5.585 5.585
angles: 90.00 90.00 90.00
Space group Pm-3m (No. 221)
Symmetry-distinct sites (fractional):
Cs 0.000 0.000 0.000 (multiplicity 1)
Y 0.000 0.000 0.500 (multiplicity 3)
Sn 0.500 0.500 0.500 (multiplicity 1)

Output
Calculated density ... 4.9 Mg/m³
N(E_F) ... 0.980 states/eV/atom
Magnetization ... 0.00 μB per formula unit
Volume ... 174.2 Å³/cell

---

two:
DFT (PBE) results for an optimized crystal structure of CsY3Sn.

abc: 5.967 5.967 5.967
angles: 90.00 90.00 90.00
Space group Pm-3m (No. 221)
Symmetry-distinct sites (fractional):
Cs 0.000 0.000 0.000 (multiplicity 1)
Y 0.000 0.500 0.500 (multiplicity 3)
Sn 0.500 0.500 0.500 (multiplicity 1)

Output
Calculated density ... 4.1 Mg/m³
N(E_F) ... 1.982 states/eV/atom
Magnetization ... 0.00 μB per formula unit
Volume ... 212.5 Å³/cell

---

Computed relative energies in units of kJ/mol of atoms: one 81.2; two 0.0

---

one:
DFT (PBE) results for an optimized crystal structure of CsYSn3.

abc: 5.924 5.924 5.924
angles: 90.00 90.00 90.00
Space group Pm-3m (No. 221)
Symmetry-distinct sites (fractional):
Cs 0.000 0.000 0.000 (multiplicity 1)
Y 0.500 0.500 0.500 (multiplicity 1)
Sn 0.000 0.500 0.500 (multiplicity 3)

Output
Calculated density ... 4.6 Mg/m³
N(E_F) ... 0.522 states/eV/atom
Magnetization ... 0.00 μB per formula unit
Volume ... 207.9 Å³/cell

---

two:
DFT (PBE) results for an optimized crystal structure of CsYSn3.

abc: 5.912 5.912 5.912
angles: 90.00 90.00 90.00
Space group Pm-3m (No. 221)
Symmetry-distinct sites (fractional):
Cs 0.000 0.000 0.000 (multiplicity 1)
Y 0.500 0.500 0.500 (multiplicity 1)
Sn 0.000 0.000 0.500 (multiplicity 3)

Output
Calculated density ... 4.6 Mg/m³
N(E_F) ... 1.125 states/eV/atom
Magnetization ... 0.00 μB per formula unit
Volume ... 206.7 Å³/cell

---

Computed relative energies in units of kJ/mol of atoms: one 0.0; two 115.9

---

one:
DFT (PBE) results for an optimized crystal structure of CsZnSn.

abc: 4.6481 4.6481 6.2580
angles: 90.00 90.00 120.00
Space group P-6m2 (No. 187)
Symmetry-distinct sites (fractional):
Cs 0.0000 0.0000 0.0000 (multiplicity 1)
Zn 0.6667 0.3333 0.5000 (multiplicity 1)
Sn 0.3333 0.6667 0.5000 (multiplicity 1)

Output
Calculated density ... 4.5 Mg/m³
N(E_F) ... 0.842 states/eV/atom
Magnetization ... 0.22 μB per formula unit
Volume ... 117.1 Å³/cell

---

two:
DFT (PBE) results for an optimized crystal structure of CsZnSn.

abc: 4.893 7.586 7.615
angles: 67.90 81.28 71.78
Space group P-1 (No. 2)
Symmetry-distinct sites (fractional):
Cs 0.150 0.324 0.297 (multiplicity 2)
Zn 0.136 0.052 0.830 (multiplicity 2)
Sn 0.434 0.804 0.165 (multiplicity 2)

Output
Calculated density ... 4.2 Mg/m³
N(E_F) ... 0.015 states/eV/atom
Magnetization ... 0.00 μB per formula unit
Volume ... 248.6 Å³/cell

---

Computed relative energies in units of kJ/mol of atoms: one 4.1; two 0.0

---

one:
DFT (PBE) results for an optimized crystal structure of CsZnSn.

abc: 3.859 4.873 12.450
angles: 90.00 90.00 90.00
Space group Amm2 (No. 38)
Symmetry-distinct sites (fractional):
Cs 0.000 0.000 0.000 (multiplicity 2)
Zn 0.500 0.000 0.285 (multiplicity 2)
Sn 0.500 0.000 0.709 (multiplicity 2)

Output
Calculated density ... 4.5 Mg/m³
N(E_F) ... 0.175 states/eV/atom
Magnetization ... 0.00 μB per formula unit
Volume ... 234.1 Å³/cell

---

two:
DFT (PBE) results for an optimized crystal structure of CsZnSn.

abc: 4.344 4.747 6.963
angles: 73.38 73.00 62.90
Space group P1 (No. 1)
Symmetry-distinct sites (fractional):
Cs 0.000 0.000 0.000 (multiplicity 1)
Zn 0.801 0.818 0.555 (multiplicity 1)
Sn 0.501 0.460 0.511 (multiplicity 1)

Output
Calculated density ... 4.4 Mg/m³
N(E_F) ... 0.800 states/eV/atom
Magnetization ... 0.00 μB per formula unit
Volume ... 120.2 Å³/cell

---

Computed relative energies in units of kJ/mol of atoms: one 3.7; two 0.0

---

one:
DFT (PBE) results for an optimized crystal structure of Cs2Zn2Sn.

abc: 7.613 7.613 6.123
angles: 90.00 90.00 90.00
Space group P4/mbm (No. 127)
Symmetry-distinct sites (fractional):
Cs 0.180 0.320 0.000 (multiplicity 4)
Zn 0.132 0.632 0.500 (multiplicity 4)
Sn 0.000 0.000 0.500 (multiplicity 2)

Output
Calculated density ... 4.8 Mg/m³
N(E_F) ... 0.069 states/eV/atom
Magnetization ... 0.00 μB per formula unit
Volume ... 354.9 Å³/cell

---

two:
DFT (PBE) results for an optimized crystal structure of Cs2Zn2Sn.

abc: 10.783 10.783 3.538
angles: 90.00 90.00 90.00
Space group P4/mbm (No. 127)
Symmetry-distinct sites (fractional):
Cs 0.196 0.304 0.000 (multiplicity 4)
Zn 0.089 0.589 0.500 (multiplicity 4)
Sn 0.000 0.000 0.000 (multiplicity 2)

Output
Calculated density ... 4.2 Mg/m³
N(E_F) ... 0.266 states/eV/atom
Magnetization ... 0.00 μB per formula unit
Volume ... 411.4 Å³/cell

---

Computed relative energies in units of kJ/mol of atoms: one 0.0; two 24.7